Entry from Alexandria via LeMat-Bulk: a PBEsol-optimized structure of SrMg3SiN4 (SCAN).

It has space group I4_1/a (No. 88, origin choice 2), with a = 11.5171 Å, b = 11.5171 Å, c = 13.5604 Å, α = 90.00°, β = 90.00° and γ = 90.00°. The asymmetric unit holds Sr at (0.2370, 0.4891, 0.4225), Mg at (0.0022, 0.3888, 0.3207), Mg at (0.0200, 0.4099, 0.0603), Mg at (0.0266, 0.4044, 0.5620), Si at (0.0361, 0.4274, 0.8058), N at (0.0434, 0.0963, 0.9165), N at (0.0538, 0.0756, 0.6998), N at (0.0815, 0.0752, 0.1858) and N at (0.0942, 0.0851, 0.4492).

Its total DFT energy (no corrections) is -10.600 eV per atom.